{
  "formula": "FeC3",
  "functional": "PBE",
  "state": "optimized geometry",
  "lattice_angstrom": [[-2.105, -1.245, -0.704], [1.709, -1.139, 1.503], [-7.456, 5.465, 12.621]],
  "species": ["C", "C", "C", "C", "C", "C", "C", "C", "C", "Fe", "Fe", "Fe"],
  "frac_coords": [[0.000, 0.000, 0.939], [0.333, 0.667, 0.606], [0.667, 0.333, 0.273], [0.000, 0.000, 0.577], [0.333, 0.667, 0.244], [0.667, 0.333, 0.911], [0.000, 0.000, 0.037], [0.333, 0.667, 0.704], [0.667, 0.333, 0.371], [0.000, 0.000, 0.445], [0.333, 0.667, 0.112], [0.667, 0.333, 0.779]],
  "dos_ef_per_ev_atom": 0.38,
  "sg": "R3m (160)",
  "rho_g_cm3": 5.22,
  "de_polymorph_ev_per_atom": 0.000,
  "crystal_system": "trigonal",
  "total_energy_ev_per_fu": -33.9,
  "magmom_total_mub_per_atom": 0.00,
  "delta_e_f_ev_per_atom": 0.57
}